[1]
Compound: SrCaGeN2
Source: the Alexandria database
Functional: PBE
Structure: optimized geometry

Unit cell a=5.2248 b=5.7017 c=6.9303 alpha=90.05 beta=90.00 gamma=90.00
With the nearest neighbours (Å) after each atom.
Positions (direct):
N 0.7450 0.7690 0.9996  1 Ge 1.87
Ca 0.4999 0.0000 0.2500  4 N 2.52-2.53
Ge 0.0000 0.0000 0.5000  2 N 1.87
Sr 0.0010 0.5000 0.7500  4 N 2.67
Sr 0.9990 0.5000 0.2500  4 N 2.67
Ge 0.0000 0.0000 0.0000  2 N 1.87
N 0.7450 0.2310 0.5004  1 Ge 1.87
Ca 0.5001 0.0000 0.7500  4 N 2.52-2.53
N 0.2550 0.7690 0.4996  1 Ge 1.87
N 0.2550 0.2310 0.0004  1 Ge 1.87

[2]
Compound: SrCa2Ge2N4
Source: the Alexandria database
Functional: PBE
Structure: optimized geometry

Unit cell a=3.3411 b=8.6075 c=9.0977 alpha=139.24 beta=90.00 gamma=101.19
With the nearest neighbours (Å) after each atom.
Positions (direct):
Ge 0.6626 0.3252 0.9495  2 N 1.79-1.99
N 0.2639 0.5279 0.1462  3 Ge 1.99-2.05
Ca 0.8685 0.7370 0.4840  4 N 2.37-2.64
Ge 0.3374 0.6748 0.0505  2 N 1.79-1.99
N 0.5021 0.0042 0.7729  1 Ge 1.79
N 0.7361 0.4721 0.8538  3 Ge 1.99-2.05
Ca 0.1315 0.2630 0.5160  4 N 2.37-2.64
N 0.4979 0.9958 0.2271  1 Ge 1.79
Sr 0.0000 0.0000 0.0000  4 N 2.68

[3]
Compound: CaTc2GeN4
Source: the Alexandria database
Functional: PBE
Structure: optimized geometry

Unit cell a=5.4695 b=5.4695 c=5.0502 alpha=122.86 beta=122.86 gamma=89.89
With the nearest neighbours (Å) after each atom.
Positions (direct):
Ge 0.5003 0.5003 0.0005  4 N 1.90
N 0.8771 0.5013 0.3784  1 Ge 1.90, 2 Tc 2.03
N 0.1238 0.1238 0.6229  1 Ge 1.90, 2 Tc 2.03
N 0.5013 0.8771 0.3784  1 Ge 1.90, 2 Tc 2.03
N 0.4991 0.4991 0.6229  1 Ge 1.90, 2 Tc 2.03
Tc 0.7494 0.2494 0.4988  4 N 2.03
Ca 0.9999 0.9999 0.9999  8 N 2.48-2.71
Tc 0.2494 0.7494 0.4988  4 N 2.03

[4]
Compound: CaGe2TeN
Source: the Alexandria database
Functional: PBE
Structure: optimized geometry

Unit cell a=5.6565 b=5.7303 c=5.6565 alpha=90.00 beta=90.00 gamma=90.00
With the nearest neighbours (Å) after each atom.
Positions (direct):
Ge 0.0000 0.0000 0.5000  2 Ca 2.83
Ge 0.5000 0.0000 0.0000  2 Ca 2.83
Te 0.0000 0.5000 0.0000  2 Ca 2.87
N 0.5000 0.5000 0.5000  4 Te 4.00, 8 Ge 4.03
Ca 0.0000 0.0000 0.0000  4 Ge 2.83, 2 Te 2.87

[5]
Compound: CaGeTe2N
Source: the Alexandria database
Functional: PBE
Structure: optimized geometry

Unit cell a=5.9146 b=5.9146 c=4.1349 alpha=90.00 beta=90.00 gamma=90.00
With the nearest neighbours (Å) after each atom.
Positions (direct):
Te 0.5000 0.0000 0.0000  2 Ca 2.96
Ca 0.0000 0.0000 0.0000  2 N 2.07
Ge 0.5000 0.5000 0.5000  8 Te 3.61
N 0.0000 0.0000 0.5000  2 Ca 2.07
Te 0.0000 0.5000 0.0000  2 Ca 2.96

Calculated values
offset from the most stable computed form: 816 meV/atom

[6]
Compound: CaGeTe2N
Source: the Alexandria database
Functional: PBE
Structure: optimized geometry

Unit cell a=5.7687 b=5.7687 c=3.6433 alpha=90.00 beta=90.00 gamma=90.00
With the nearest neighbours (Å) after each atom.
Positions (direct):
Te 0.0000 0.5000 0.0000  2 Ge 2.88
Ge 0.0000 0.0000 0.0000  2 N 1.82
N 0.0000 0.0000 0.5000  2 Ge 1.82
Ca 0.5000 0.5000 0.5000  8 Te 3.41, 2 Ca 3.64
Te 0.5000 0.0000 0.0000  2 Ge 2.88

Calculated values
offset from the most stable computed form: 0 meV/atom

Calculated uncorrected formation energy (kcal/mol of atoms), listed in the same order as above: -5.17, -8.21, -1.10, 37.93, 18.59, -0.22
Calculated DOS at the Fermi energy (states/eV per cell), listed in the same order as above: 6.79, 1.81, 5.14, 3.85, 5.38, 1.49